a | Mg6NbCdO8 | GGA-PBE | optimized geometry

Cell: 4.421 4.421 8.987 Å, 90.00 90.00 90.00°
Sites, in units of the cell vectors:
Mg 0.000 0.000 0.000
Mg 0.000 0.000 0.500
Mg 0.000 0.500 0.247
Mg 0.000 0.500 0.753
Mg 0.500 0.000 0.247
Mg 0.500 0.000 0.753
Nb 0.500 0.500 0.500
Cd 0.500 0.500 0.000
O 0.000 0.000 0.252
O 0.000 0.000 0.748
O 0.000 0.500 0.000
O 0.000 0.500 0.500
O 0.500 0.000 0.000
O 0.500 0.000 0.500
O 0.500 0.500 0.258
O 0.500 0.500 0.742

---

b | Mg6NbCdO8 | GGA-PBE | optimized geometry

Cell: 4.448 4.448 8.816 Å, 90.00 90.00 90.00°
Sites, in units of the cell vectors:
Mg 0.000 0.000 0.000
Mg 0.000 0.500 0.238
Mg 0.000 0.500 0.762
Mg 0.500 0.000 0.238
Mg 0.500 0.000 0.762
Mg 0.500 0.500 0.000
Nb 0.000 0.000 0.500
Cd 0.500 0.500 0.500
O 0.000 0.000 0.240
O 0.000 0.000 0.760
O 0.000 0.500 0.000
O 0.000 0.500 0.500
O 0.500 0.000 0.000
O 0.500 0.000 0.500
O 0.500 0.500 0.230
O 0.500 0.500 0.770

---

Least stable = a